No. 1
A plane-wave DFT calculation with GGA-PBE was carried out for an optimized crystal structure of CsLaAuS2.

Cell: 7.9977 5.1922 8.3435 Å, 90.00 100.84 90.00°
Last column: nearest neighbours and their distance in Å.
Fractional coordinates of all 10 atoms:
1 Cs 0.0000 0.1563 0.2500  6 S 3.60-3.71
2 Cs 0.0000 0.8437 0.7500  6 S 3.60-3.71
3 La 0.5000 0.4921 0.7500  4 S 2.86-2.87
4 La 0.5000 0.5079 0.2500  4 S 2.86-2.87
5 Au 0.5000 0.0000 0.0000  2 S 2.44
6 Au 0.5000 0.0000 0.5000  2 S 2.44
7 S 0.2778 0.3281 0.9626  1 Au 2.44
8 S 0.2778 0.6719 0.4626  1 Au 2.44
9 S 0.7222 0.3281 0.5374  1 Au 2.44
10 S 0.7222 0.6719 0.0374  1 Au 2.44

Values from the calculation:
- Formation energy from raw total energies: -115.6 kJ/mol of atoms

***

No. 2
A plane-wave DFT calculation with GGA-PBE was carried out for an optimized crystal structure of MgBeCo2C.

Cell: 3.7885 3.7885 3.5875 Å, 90.00 90.00 90.00°
Last column: nearest neighbours and their distance in Å.
Fractional coordinates of all 5 atoms:
1 Mg 0.0000 0.0000 0.0000  8 Co 2.61, 4 Be 2.68
2 Be 0.5000 0.5000 0.0000  2 C 1.79
3 Co 0.0000 0.5000 0.5000  2 C 1.89
4 Co 0.5000 0.0000 0.5000  2 C 1.89
5 C 0.5000 0.5000 0.5000  2 Be 1.79, 4 Co 1.89

Values from the calculation:
- ΔE_f: -0.1 eV/f.u.

***

No. 3
A plane-wave DFT calculation with GGA-PBE was carried out for an optimized crystal structure of Pu2VReN5.

Cell: 6.6110 6.6110 9.7032 Å, 90.00 90.00 150.85°
Last column: nearest neighbours and their distance in Å.
Fractional coordinates of all 18 atoms:
1 Pu 0.1126 0.8874 0.5000  6 N 2.26-2.45
2 Pu 0.1450 0.8550 0.1197  7 N 2.28-2.54
3 Pu 0.8550 0.1450 0.6197  7 N 2.28-2.54
4 Pu 0.8874 0.1126 0.0000  6 N 2.26-2.45
5 V 0.4637 0.5363 0.2777  3 N 1.83-1.91
6 V 0.5363 0.4637 0.7777  3 N 1.83-1.91
7 Re 0.2047 0.7953 0.8258  6 N 2.07-2.17
8 Re 0.7953 0.2047 0.3258  6 N 2.07-2.17
9 N 0.0470 0.9530 0.8730  2 V 1.91, 1 Re 2.07
10 N 0.2873 0.7127 0.4685  2 Re 2.17, 3 Pu 2.26-2.38
11 N 0.3154 0.6846 0.1883  1 V 2.09, 2 Re 2.15, 1 Pu 2.28
12 N 0.3689 0.6311 0.8165  1 Re 2.10, 1 V 2.18
13 N 0.4934 0.5066 0.5978  1 V 1.83
14 N 0.5066 0.4934 0.0978  1 V 1.83
15 N 0.6311 0.3689 0.3165  1 Re 2.10, 1 V 2.18
16 N 0.6846 0.3154 0.6883  1 V 2.09, 2 Re 2.15, 1 Pu 2.28
17 N 0.7127 0.2873 0.9685  2 Re 2.17, 3 Pu 2.26-2.38
18 N 0.9530 0.0470 0.3730  2 V 1.91, 1 Re 2.07

Values from the calculation:
- Formation energy from raw total energies: -84.2 kJ/mol of atoms

***

| no. | VASP energy (eV per atom) |
| --- | --- |
| 1 | -4.660 |
| 2 | -5.766 |
| 3 | -11.079 |